Compound: TbCu2Si2
Source: the Alexandria database
Functional: SCAN
Structure: PBEsol geometry

POSCAR file:
```
TbCu2Si2
1.0
-1.969 1.969 4.918
1.969 -1.969 4.918
1.969 1.969 -4.918
Tb Cu Si
1 2 2
Cartesian
0.000 0.000 0.000 Tb
1.969 0.000 2.459 Cu
0.000 1.969 2.459 Cu
0.000 0.000 3.748 Si
0.000 0.000 6.087 Si
```

Values from the calculation:
spin magnetization	0.00	μB per formula unit
N(E_F)	0.227	states/eV per atom
volume	15.3	Å³ per atom
energy relative to the elements, uncorrected	-0.638	eV per atom